This record from the Alexandria database describes an optimized crystal structure of Pm2Y2AlGa4. The functional is PBE.

- SG = I4/mmm, No. 139
- theoretical density (g/cm³) = 5.8
- crystal system = tetragonal
- calculated formation energy (meV/atom) = -249

abc: 6.7000 6.7000 6.7000
angles: 116.48 116.48 96.21
Last column: nearest neighbours and their distance in Å.
Fractional positions:
Pm: 0.1886 0.1886 0.0000  1 Al 2.79, 4 Ga 3.04
Pm: 0.8114 0.8114 0.0000  1 Al 2.79, 4 Ga 3.04
Y: 0.2500 0.7500 0.5000  8 Ga 3.35, 4 Pm 3.57
Y: 0.7500 0.2500 0.5000  8 Ga 3.35, 4 Pm 3.57
Al: 0.5000 0.5000 0.0000  4 Ga 2.46
Ga: 0.2531 0.2531 0.5062  1 Al 2.46
Ga: 0.2531 0.7469 0.0000  1 Al 2.46
Ga: 0.7469 0.2531 0.0000  1 Al 2.46
Ga: 0.7469 0.7469 0.4938  1 Al 2.46



This record from the Alexandria database describes an optimized crystal structure of CuSi4. The functional is PBE.

- SG = R-3m, No. 166
- theoretical density (g/cm³) = 4.0
- E_form (uncorrected) (eV per atom) = 0.257
- energy relative to the lowest polymorph listed for this composition (meV per atom) = 0
- crystal system = trigonal

abc: 2.6171 2.6171 36.5467
angles: 90.00 90.00 120.00
Last column: nearest neighbours and their distance in Å.
Fractional positions:
Cu: 0.0000 0.0000 0.0000  6 Si 2.61, 6 Cu 2.62
Cu: 0.3333 0.6667 0.6667  6 Si 2.61, 6 Cu 2.62
Cu: 0.6667 0.3333 0.3333  6 Si 2.61, 6 Cu 2.62
Si: 0.0000 0.0000 0.3916  3 Cu 2.61, 7 Si 2.62-2.66
Si: 0.0000 0.0000 0.4643  8 Si 2.61-2.66
Si: 0.0000 0.0000 0.5357  8 Si 2.61-2.66
Si: 0.0000 0.0000 0.6084  3 Cu 2.61, 7 Si 2.62-2.66
Si: 0.3333 0.6667 0.0583  3 Cu 2.61, 7 Si 2.62-2.66
Si: 0.3333 0.6667 0.1310  8 Si 2.61-2.66
Si: 0.3333 0.6667 0.2024  8 Si 2.61-2.66
Si: 0.3333 0.6667 0.2750  3 Cu 2.61, 7 Si 2.62-2.66
Si: 0.6667 0.3333 0.7250  3 Cu 2.61, 7 Si 2.62-2.66
Si: 0.6667 0.3333 0.7976  8 Si 2.61-2.66
Si: 0.6667 0.3333 0.8690  8 Si 2.61-2.66
Si: 0.6667 0.3333 0.9417  3 Cu 2.61, 7 Si 2.62-2.66



This record from the Alexandria database describes an optimized crystal structure of YHo5Zn6. The functional is PBE.

- SG = Cmmm, No. 65
- theoretical density (g/cm³) = 8.0
- crystal system = orthorhombic
- calculated formation energy (meV/atom) = -347

abc: 7.9486 7.9486 7.1326
angles: 90.00 90.00 143.14
Last column: nearest neighbours and their distance in Å.
Fractional positions:
Y: 0.0000 0.0000 0.0000  8 Zn 3.09-3.10
Ho: 0.0000 0.0000 0.5000  8 Zn 3.07-3.09
Ho: 0.3330 0.6670 0.0000  8 Zn 3.07-3.09
Ho: 0.3337 0.6663 0.5000  8 Zn 3.07
Ho: 0.6663 0.3337 0.5000  8 Zn 3.07
Ho: 0.6670 0.3330 0.0000  8 Zn 3.07-3.09
Zn: 0.1675 0.8325 0.2515  7 Ho 3.07-3.09, 1 Y 3.10
Zn: 0.1675 0.8325 0.7485  7 Ho 3.07-3.09, 1 Y 3.10
Zn: 0.5000 0.5000 0.2516  6 Ho 3.07-3.09, 2 Y 3.09
Zn: 0.5000 0.5000 0.7484  6 Ho 3.07-3.09, 2 Y 3.09
Zn: 0.8325 0.1675 0.2515  7 Ho 3.07-3.09, 1 Y 3.10
Zn: 0.8325 0.1675 0.7485  7 Ho 3.07-3.09, 1 Y 3.10



This record from the Alexandria database describes an optimized crystal structure of AcZn4Ni2. The functional is PBE.

- SG = Cmmm, No. 65
- theoretical density (g/cm³) = 8.2
- energy relative to the lowest polymorph listed for this composition (meV per atom) = 0
- crystal system = orthorhombic
- calculated formation energy (meV/atom) = -241

abc: 4.1048 14.5445 4.0919
angles: 90.00 90.00 90.00
Last column: nearest neighbours and their distance in Å.
Fractional positions:
Ac: 0.0000 0.0000 0.0000  8 Ni 3.16, 8 Zn 3.39-3.42
Ac: 0.5000 0.5000 0.0000  8 Ni 3.16, 8 Zn 3.39-3.42
Zn: 0.0000 0.1886 0.5000  2 Ni 2.53, 4 Zn 2.72-2.74
Zn: 0.0000 0.3144 0.0000  2 Ni 2.50, 4 Zn 2.74-2.78
Zn: 0.0000 0.6856 0.0000  2 Ni 2.50, 4 Zn 2.74-2.78
Zn: 0.0000 0.8114 0.5000  2 Ni 2.53, 4 Zn 2.72-2.74
Zn: 0.5000 0.1856 0.0000  2 Ni 2.50, 4 Zn 2.74-2.78
Zn: 0.5000 0.3114 0.5000  2 Ni 2.53, 4 Zn 2.72-2.74
Zn: 0.5000 0.6886 0.5000  2 Ni 2.53, 4 Zn 2.72-2.74
Zn: 0.5000 0.8144 0.0000  2 Ni 2.50, 4 Zn 2.74-2.78
Ni: 0.0000 0.4131 0.5000  4 Zn 2.50-2.53, 1 Ni 2.53
Ni: 0.0000 0.5869 0.5000  4 Zn 2.50-2.53, 1 Ni 2.53
Ni: 0.5000 0.0869 0.5000  4 Zn 2.50-2.53, 1 Ni 2.53
Ni: 0.5000 0.9131 0.5000  4 Zn 2.50-2.53, 1 Ni 2.53



This record from the Alexandria database describes an optimized crystal structure of La2TaRh. The functional is PBE.

- SG = C2/m, No. 12
- theoretical density (g/cm³) = 10.2
- energy relative to the lowest polymorph listed for this composition (meV per atom) = 390
- crystal system = monoclinic
- calculated formation energy (meV/atom) = 261

abc: 6.3199 9.5939 3.2685
angles: 90.00 113.02 90.00
Last column: nearest neighbours and their distance in Å.
Fractional positions:
La: 0.2500 0.2500 0.0000  2 Ta 2.98, 2 Rh 2.98, 4 La 3.16-3.27
La: 0.2500 0.7500 0.0000  2 Ta 2.98, 2 Rh 2.98, 4 La 3.16-3.27
La: 0.7500 0.2500 0.0000  2 Ta 2.98, 2 Rh 2.98, 4 La 3.16-3.27
La: 0.7500 0.7500 0.0000  2 Ta 2.98, 2 Rh 2.98, 4 La 3.16-3.27
Ta: 0.0000 0.0000 0.5000  4 La 2.98, 2 Rh 3.16, 2 Ta 3.27
Ta: 0.5000 0.5000 0.5000  4 La 2.98, 2 Rh 3.16, 2 Ta 3.27
Rh: 0.0000 0.5000 0.5000  4 La 2.98, 2 Ta 3.16, 2 Rh 3.27
Rh: 0.5000 0.0000 0.5000  4 La 2.98, 2 Ta 3.16, 2 Rh 3.27



This record from the Alexandria database describes an optimized crystal structure of Ca2Zn2Rh. The functional is PBE.

- SG = P4/mbm, No. 127
- theoretical density (g/cm³) = 4.8
- energy relative to the lowest polymorph listed for this composition (meV per atom) = 147
- crystal system = tetragonal
- calculated formation energy (meV/atom) = -249

abc: 6.8907 6.8907 4.5654
angles: 90.00 90.00 90.00
Last column: nearest neighbours and their distance in Å.
Fractional positions:
Ca: 0.1842 0.3158 0.0000  6 Zn 2.90-3.18
Ca: 0.3158 0.8158 0.0000  6 Zn 2.90-3.18
Ca: 0.6842 0.1842 0.0000  6 Zn 2.90-3.18
Ca: 0.8158 0.6842 0.0000  6 Zn 2.90-3.18
Zn: 0.1322 0.6322 0.5000  1 Zn 2.58, 2 Rh 2.69
Zn: 0.3678 0.1322 0.5000  1 Zn 2.58, 2 Rh 2.69
Zn: 0.6322 0.8678 0.5000  1 Zn 2.58, 2 Rh 2.69
Zn: 0.8678 0.3678 0.5000  1 Zn 2.58, 2 Rh 2.69
Rh: 0.0000 0.0000 0.5000  4 Zn 2.69
Rh: 0.5000 0.5000 0.5000  4 Zn 2.69



no.,D(E_F) (states/eV/f.u.)
1,6.1
2,1.1
3,14.0
4,3.3
5,4.5
6,3.9